Record 1
Compound: Li2MgPd
Source: Alexandria
Functional: GGA-PBE
Structure: optimized geometry

Summary:
density = 3.7 g cm⁻³
SG = P4/mmm (123)
energy of formation from the pure elements = -133 kJ/mol of formula units

Lattice parameters (Å, degrees): 4.2452 3.9004 3.9004 90.00 90.00 90.00
Closest atoms and distances in Å follow each position.
Atoms (fractional coordinates):
Li  0.0000  0.0000  0.5000  4 Li 2.76, 4 Mg 2.88, 4 Pd 2.88
Li  0.0000  0.5000  0.0000  4 Li 2.76, 4 Mg 2.88, 4 Pd 2.88
Pd  0.5000  0.5000  0.5000  4 Mg 2.76, 8 Li 2.88
Mg  0.5000  0.0000  0.0000  4 Pd 2.76, 8 Li 2.88

***

Record 2
Compound: CuRhSeBr2
Source: Alexandria
Functional: GGA-PBE
Structure: optimized geometry

Summary:
density = 5.3 g cm⁻³
SG = P4/mmm (123)
ΔE_f (raw) = 0.398 eV per atom
distance to the lowest polymorph of the same formula = 0 meV/atom

Lattice parameters (Å, degrees): 5.2191 5.2191 4.6924 90.00 90.00 90.00
Closest atoms and distances in Å follow each position.
Atoms (fractional coordinates):
Rh  0.0000  0.0000  0.0000  2 Se 2.35, 4 Br 2.61
Br  0.5000  0.0000  0.0000  2 Rh 2.61
Br  0.0000  0.5000  0.0000  2 Rh 2.61
Cu  0.5000  0.5000  0.5000  8 Br 3.51, 4 Se 3.69
Se  0.0000  0.0000  0.5000  2 Rh 2.35

***

Record 3
Compound: La3Tc2
Source: Alexandria
Functional: GGA-PBE
Structure: optimized geometry

Summary:
density = 8.1 g cm⁻³
SG = Fddd (70)
distance to the lowest polymorph of the same formula = 0 meV/atom
energy of formation from the pure elements = 122 kJ/mol of formula units

Lattice parameters (Å, degrees): 9.7017 8.2508 6.4345 81.68 57.30 41.02
Closest atoms and distances in Å follow each position.
Atoms (fractional coordinates):
Tc  0.9769  0.9769  0.5231  1 La 2.43
Tc  0.7269  0.7269  0.2731  1 La 2.43
Tc  0.5231  0.5231  0.9769  1 La 2.43
Tc  0.2731  0.2731  0.7269  1 La 2.43
La  0.5000  0.5000  0.5000  6 Tc 3.24-3.53, 4 La 3.31
La  0.3668  0.3668  0.1332  1 Tc 2.43
La  0.1332  0.1332  0.3668  1 Tc 2.43
La  0.7500  0.7500  0.7500  6 Tc 3.24-3.53, 4 La 3.31
La  0.1168  0.1168  0.8832  1 Tc 2.43
La  0.8832  0.8832  0.1168  1 Tc 2.43

***

Record 4
Compound: Pm8Pd2Pt3
Source: Alexandria
Functional: GGA-PBE
Structure: optimized geometry

Summary:
density = 8.1 g cm⁻³
SG = C2/m (12)
energy of formation from the pure elements = -850 kJ/mol of formula units

Lattice parameters (Å, degrees): 7.0065 8.1015 8.4762 118.55 105.31 90.00
Closest atoms and distances in Å follow each position.
Atoms (fractional coordinates):
Pt  0.0000  0.2511  0.0000  6 Pm 2.83-2.88
Pt  0.0000  0.7489  0.0000  6 Pm 2.83-2.88
Pt  0.5000  0.0000  0.0000  6 Pm 2.87-2.91
Pm  0.0849  0.8817  0.7633  3 Pt 2.87-2.91, 1 Pd 3.03
Pm  0.5917  0.6341  0.7603  2 Pt 2.87-2.88, 2 Pd 2.98-2.99
Pm  0.5917  0.1263  0.7603  2 Pt 2.87-2.88, 2 Pd 2.98-2.99
Pm  0.4083  0.8737  0.2397  2 Pt 2.87-2.88, 2 Pd 2.98-2.99
Pm  0.9151  0.1183  0.2367  3 Pt 2.87-2.91, 1 Pd 3.03
Pm  0.8939  0.6097  0.2194  2 Pt 2.83, 1 Pd 2.93
Pm  0.4083  0.3659  0.2397  2 Pt 2.87-2.88, 2 Pd 2.98-2.99
Pm  0.1061  0.3903  0.7806  2 Pt 2.83, 1 Pd 2.93
Pd  0.6650  0.7453  0.4907  6 Pm 2.93-3.03
Pd  0.3350  0.2547  0.5093  6 Pm 2.93-3.03

***

Record 5
Compound: RbCrI3
Source: Alexandria
Functional: GGA-PBE
Structure: optimized geometry

Summary:
density = 4.2 g cm⁻³
SG = C2 (5)
ΔE_f (raw) = -0.760 eV per atom

Lattice parameters (Å, degrees): 8.0985 8.0985 14.4376 84.76 84.76 60.13
Closest atoms and distances in Å follow each position.
Atoms (fractional coordinates):
I  0.0978  0.7480  0.3925  2 Cr 2.79-2.80
I  0.8162  0.8499  0.1642  1 Cr 2.76
I  0.7852  0.8813  0.6643  1 Cr 2.76
I  0.6096  0.2187  0.3988  1 Cr 2.76
I  0.8367  0.3170  0.1076  2 Cr 2.79-2.80
I  0.1536  0.6748  0.8988  1 Cr 2.76
I  0.1501  0.1838  0.8358  1 Cr 2.76
I  0.2520  0.9022  0.6075  2 Cr 2.79-2.80
I  0.1187  0.2148  0.3357  1 Cr 2.76
I  0.6830  0.1633  0.8924  2 Cr 2.79-2.80
I  0.3252  0.8464  0.1012  1 Cr 2.76
I  0.7813  0.3904  0.6012  1 Cr 2.76
Rb  0.6518  0.6786  0.8813  9 I 3.73-4.14
Rb  0.6135  0.7148  0.3806  9 I 3.73-4.13
Rb  0.2852  0.3865  0.6194  9 I 3.73-4.13
Rb  0.3214  0.3482  0.1187  9 I 3.73-4.14
Cr  0.9673  0.0324  0.2501  4 I 2.76-2.79
Cr  0.9676  0.0327  0.7499  4 I 2.76-2.79
Cr  0.9320  0.0680  0.5000  4 I 2.76-2.80
Cr  0.0028  0.9972  0.0000  4 I 2.76-2.80

***

Record 6
Compound: WS8Cl6
Source: Alexandria
Functional: GGA-PBE
Structure: optimized geometry

Summary:
density = 2.1 g cm⁻³
SG = P-1 (2)
ΔE_f (raw) = -0.400 eV per atom

Lattice parameters (Å, degrees): 8.4775 8.5092 14.3481 96.06 99.47 90.14
Closest atoms and distances in Å follow each position.
Atoms (fractional coordinates):
S  0.6277  0.4798  0.3963  2 S 2.06
S  0.0878  0.3620  0.2887  2 S 2.06
S  0.9976  0.5600  0.3555  2 S 2.06
S  0.2434  0.4270  0.6958  2 S 2.06
S  0.4352  0.7521  0.6526  2 S 2.06
S  0.3723  0.5202  0.6037  2 S 2.06
S  0.9033  0.8192  0.6259  2 S 2.06
S  0.7566  0.5730  0.3042  2 S 2.06
S  0.0024  0.4400  0.6445  2 S 2.06
S  0.9122  0.6380  0.7113  2 S 2.06
S  0.1036  0.9635  0.6683  2 S 2.06
S  0.5648  0.2479  0.3474  2 S 2.06
S  0.7275  0.1011  0.4161  2 S 2.06
S  0.2725  0.8989  0.5839  2 S 2.06
S  0.8964  0.0365  0.3317  2 S 2.06
S  0.0967  0.1808  0.3741  2 S 2.06
Cl  0.7862  0.9636  0.8911  1 W 2.31
Cl  0.9731  0.3013  0.8970  1 W 2.31
Cl  0.4461  0.1468  0.8831  1 W 2.31
Cl  0.3255  0.8042  0.2739  1 W 2.31
Cl  0.2573  0.7486  0.9462  1 W 2.30
Cl  0.5539  0.8532  0.1169  1 W 2.31
Cl  0.3657  0.5154  0.1111  1 W 2.31
Cl  0.6745  0.1958  0.7261  1 W 2.31
Cl  0.0269  0.6987  0.1030  1 W 2.31
Cl  0.6343  0.4846  0.8889  1 W 2.31
Cl  0.2138  0.0364  0.1089  1 W 2.31
Cl  0.7427  0.2514  0.0538  1 W 2.30
W  0.2903  0.7761  0.1098  6 Cl 2.30-2.31
W  0.7097  0.2239  0.8902  6 Cl 2.30-2.31

***

The following calculated volume values (in A^3/atom) correspond, in order, to the records above: 16.1, 25.6, 25.0, 31.0, 40.8, 33.8.
The following energy values (in eV/atom) correspond, in order, to the records above: -3.00, -3.26, -6.85, -5.79, -3.81, -4.20.